# 1
Below is a relaxed structure of LiZn2Au, with properties calculated at the PBE level.

a b c (Å): 4.375 6.187 13.130
angles (deg): 90.00 90.00 90.00
Positions (direct):
Au  0.000  0.000  0.000
Au  0.500  0.500  0.167
Au  0.000  0.000  0.333
Au  0.500  0.500  0.500
Au  0.000  0.000  0.667
Au  0.500  0.500  0.833
Li  0.000  0.500  0.000
Li  0.500  0.000  0.167
Li  0.000  0.500  0.333
Li  0.500  0.000  0.500
Li  0.000  0.500  0.667
Li  0.500  0.000  0.833
Zn  0.500  0.250  0.000
Zn  0.500  0.750  0.000
Zn  0.000  0.250  0.167
Zn  0.000  0.750  0.167
Zn  0.500  0.250  0.333
Zn  0.500  0.750  0.333
Zn  0.000  0.250  0.500
Zn  0.000  0.750  0.500
Zn  0.500  0.250  0.667
Zn  0.500  0.750  0.667
Zn  0.000  0.250  0.833
Zn  0.000  0.750  0.833

Space group: Fm-3m (225)

---

# 2
Below is a relaxed structure of NaZr3, with properties calculated at the PBE level.

a b c (Å): 5.573 6.395 5.263
angles (deg): 90.00 90.00 90.00
Positions (direct):
Na  0.007  0.000  0.000
Na  0.326  0.500  0.500
Zr  0.512  0.254  0.000
Zr  0.991  0.500  0.000
Zr  0.512  0.746  0.000
Zr  0.342  0.000  0.500
Zr  0.821  0.246  0.500
Zr  0.821  0.754  0.500

Total magnetization (μB/cell): 0.06
Space group: Pmmn (59)

---

# 3
Below is a relaxed structure of Tb5NdSe6, with properties calculated at the PBE level.

a b c (Å): 7.129 7.129 7.105
angles (deg): 99.62 99.62 120.08
Positions (direct):
Nd  0.000  0.000  0.000
Se  0.743  0.743  0.251
Se  0.427  0.085  0.255
Se  0.085  0.427  0.255
Se  0.915  0.573  0.745
Se  0.573  0.915  0.745
Se  0.257  0.257  0.749
Tb  0.666  0.334  0.000
Tb  0.334  0.666  0.000
Tb  0.839  0.161  0.500
Tb  0.500  0.500  0.500
Tb  0.161  0.839  0.500

Total magnetization (μB/cell): 0.02
Space group: C2/m (12)

---

# 4
Below is a relaxed structure of SmSc, with properties calculated at the PBE level.

a b c (Å): 4.453 4.453 7.178
angles (deg): 90.00 90.00 120.00
Positions (direct):
Sc  0.333  0.667  0.250
Sc  0.667  0.333  0.750
Sm  0.000  0.000  0.000
Sm  0.000  0.000  0.500

Total magnetization (μB/cell): 0.83
ΔE_f (eV/f.u.): 1.56
Space group: P6_3/mmc (194)

---

Record order is preserved below.
Energy: -9.172; -25.082; -70.214; -9.478 eV per formula unit